This record from OQMD describes crystalline PaF5 at its relaxed geometry. The functional is PBE.

Output
Its electronic total energy is -6.774 eV per atom. Its crystal system is orthorhombic.

abc: 7.672 3.553 5.570
angles: 90.00 90.00 90.00
Space group Pmma (No. 51)
Inequivalent atoms, fractional coordinates:
Pa  0.250  0.000  0.203
F  0.000  0.000  0.000
F  0.084  0.500  0.313
F  0.250  0.000  0.571
F  0.250  0.500  0.939